Entry 1:
{"formula": "RbTiO3", "functional": "GGA-PBE", "state": "relaxed", "final_energy_ev_per_atom": -6.655, "formation_energy_uncorrected_ev_per_atom": -1.908, "space_group": "Pmmn, No. 59", "lattice_angstrom": [[2.9298, 0.0000, 0.0000], [0.0000, 6.6017, 0.0000], [0.0000, 0.0000, 7.0351]], "species": ["Rb", "Rb", "Ti", "Ti", "O", "O", "O", "O", "O", "O"], "fractional_positions": [[0.2500, 0.2500, 0.0862], [0.7500, 0.7500, 0.9138], [0.2500, 0.2500, 0.5610], [0.7500, 0.7500, 0.4390], [0.2500, 0.5965, 0.5982], [0.2500, 0.7500, 0.2510], [0.2500, 0.9035, 0.5982], [0.7500, 0.0965, 0.4018], [0.7500, 0.2500, 0.7490], [0.7500, 0.4035, 0.4018]]}



Entry 2:
{"formula": "AlTl4Co", "functional": "GGA-PBE", "state": "relaxed", "final_energy_ev_per_atom": -2.555, "formation_energy_ev_per_atom": 0.831, "space_group": "F-43m, No. 216", "lattice_angstrom": [[0.0000, 4.4064, 4.4064], [4.4064, 0.0000, 4.4064], [4.4064, 4.4064, 0.0000]], "species": ["Al", "Tl", "Tl", "Tl", "Tl", "Co"], "fractional_positions": [[0.0000, 0.0000, 0.0000], [0.3754, 0.3754, 0.3754], [0.3754, 0.3754, 0.8738], [0.3754, 0.8738, 0.3754], [0.8738, 0.3754, 0.3754], [0.7500, 0.7500, 0.7500]]}



Entry 3:
{"formula": "VCoAg3", "functional": "GGA-PBE", "state": "relaxed", "final_energy_ev_per_atom": -3.317, "formation_energy_ev_per_atom": 1.638, "space_group": "Pm-3m, No. 221", "lattice_angstrom": [[4.8956, 0.0000, 0.0000], [0.0000, 4.8956, 0.0000], [0.0000, 0.0000, 4.8956]], "species": ["V", "Co", "Ag", "Ag", "Ag"], "fractional_positions": [[0.0000, 0.0000, 0.0000], [0.5000, 0.5000, 0.5000], [0.0000, 0.0000, 0.5000], [0.0000, 0.5000, 0.0000], [0.5000, 0.0000, 0.0000]]}



Entry 4:
{"formula": "Cr3Tc", "functional": "GGA-PBE", "state": "relaxed", "final_energy_ev_per_atom": -9.525, "formation_energy_ev_per_atom": 0.284, "space_group": "Pm-3m, No. 221", "lattice_angstrom": [[3.6955, 0.0000, 0.0000], [0.0000, 3.6955, 0.0000], [0.0000, 0.0000, 3.6955]], "species": ["Cr", "Cr", "Cr", "Tc"], "fractional_positions": [[0.0000, 0.0000, 0.5000], [0.0000, 0.5000, 0.0000], [0.5000, 0.0000, 0.0000], [0.5000, 0.5000, 0.5000]]}



Which volume belongs to each record? In order, 136.1 171.1 117.3 50.5 Å³/cell.